First-principles (PBE with a Hubbard U) data for crystalline CdWNO2 at its relaxed geometry, as listed in Alexandria.

The structure belongs to space group P4/mmm (No. 123); the cell edges are 4.0601, 4.0601 and 4.2151 Å and the angles 90.00°, 90.00° and 90.00°. The distinct sites, in fractional coordinates, are Cd at (0.0000, 0.0000, 0.0000), W at (0.5000, 0.5000, 0.5000), N at (0.0000, 0.0000, 0.5000) and O at (0.0000, 0.5000, 0.0000).



First-principles (PBE with a Hubbard U) data for crystalline CdWNO2 at its relaxed geometry, as listed in Alexandria.

The structure belongs to space group P4/mmm (No. 123); the cell edges are 3.9551, 3.9551 and 4.0806 Å and the angles 90.00°, 90.00° and 90.00°. The distinct sites, in fractional coordinates, are Cd at (0.0000, 0.0000, 0.0000), W at (0.5000, 0.5000, 0.5000), N at (0.5000, 0.5000, 0.0000) and O at (0.0000, 0.5000, 0.5000).



| no. | total DFT energy (no corrections) (eV per atom) |
| --- | --- |
| 1 | -4.19 |
| 2 | -6.05 |